{"formula": "LaDy3Ni2", "functional": "PBE", "state": "optimized geometry", "lattice": [[-3.498, -1.655, -0.639], [1.591, -8.227, 0.565], [-2.965, -1.961, 9.269]], "species": ["La", "La", "Dy", "Dy", "Dy", "Dy", "Dy", "Dy", "Ni", "Ni", "Ni", "Ni"], "fractional_positions": [[0.848, 0.556, 0.749], [0.152, 0.444, 0.251], [0.153, 0.942, 0.751], [0.847, 0.058, 0.249], [0.418, 0.216, 0.947], [0.582, 0.784, 0.053], [0.586, 0.267, 0.562], [0.414, 0.733, 0.438], [0.231, 0.592, 0.946], [0.769, 0.408, 0.054], [0.768, 0.916, 0.548], [0.232, 0.084, 0.452]], "vol_a3_per_cell": 307.6, "total_energy_ev_per_atom": -5.3122, "dos_at_fermi_per_ev_fu": 6.91}